Entry 1:
# LiAg2Pt | Alexandria | PBE | relaxed
data_LiAg2Pt
_chemical_formula_sum 'Li1 Ag2 Pt1'
_symmetry_space_group_name_H-M 'P 4 m m'
_symmetry_Int_Tables_number 99
_cell_length_a 2.8349
_cell_length_b 2.8349
_cell_length_c 7.9389
_cell_angle_alpha 90.00
_cell_angle_beta 90.00
_cell_angle_gamma 90.00
loop_
_symmetry_equiv_pos_as_xyz
'x,y,z'
'-y,x,z'
'-x,-y,z'
'y,-x,z'
'-x,y,z'
'y,x,z'
'x,-y,z'
'-y,-x,z'
loop_
_atom_site_label
_atom_site_fract_x
_atom_site_fract_y
_atom_site_fract_z
_atom_site_occupancy
Li1 0.0000 0.0000 0.0000 1
Ag1 0.0000 0.0000 0.4740 1
Ag2 0.5000 0.5000 0.7472 1
Pt1 0.5000 0.5000 0.2099 1
# **Electronic total energy**: -3.60 eV/atom

---

Entry 2:
# LiAg4Pt | Alexandria | PBE | relaxed
data_LiAg4Pt
_chemical_formula_sum 'Li2 Ag8 Pt2'
_symmetry_space_group_name_H-M 'C m m m'
_symmetry_Int_Tables_number 65
_symmetry_space_group_name_Hall '-C 2 2'
_cell_length_a 5.6918
_cell_length_b 7.3998
_cell_length_c 5.6799
_cell_angle_alpha 90.00
_cell_angle_beta 90.00
_cell_angle_gamma 90.00
loop_
_atom_site_label
_atom_site_fract_x
_atom_site_fract_y
_atom_site_fract_z
_atom_site_occupancy
Li1 0.0000 0.0000 0.0000 1
Ag1 0.2500 0.2500 0.2472 1
Pt1 0.0000 0.5000 0.5000 1
# **Energy relative to the lowest polymorph listed for this composition**: 69 meV/atom